5
Lattice="-1.3814 -4.9718 2.5651 5.4658 -0.6360 1.7109 0.8436 0.0524 7.0288" Properties=species:S:1:pos:R:3 comment="Cs2AlO2 PBE-GGA relaxed" e_tot_ev_per_atom=-4.507 raw_formation_energy_ev_per_atom=-1.4336 n_ef_per_ev_cell=2.1 pbc="T T T"
Cs 0.7522 -3.8616 5.8660
Cs 4.1759 -1.6937 5.4389
Al 0.0000 0.0000 0.0000
O 1.1922 -0.7783 5.6064
O 3.7359 -4.7771 5.6984